Record 1
## CaGdGePt (GGA-PBE)

Data for a geometry-optimized CaGdGePt structure.

Computed properties:
M_tot, μB/cell: 28.328
N(E_F), states/eV/cell: 9.8
E_form, eV/atom: -0.81

Geometry as CIF:
```
data_CaGdGePt
_space_group_name_H-M_alt 'F -4 3 m'
_space_group_IT_number 216
_space_group_name_Hall 'F -4 2 3'
_cell_length_a 7.122
_cell_length_b 7.122
_cell_length_c 7.122
_cell_angle_alpha 90.00
_cell_angle_beta 90.00
_cell_angle_gamma 90.00
loop_
_atom_site_label
_atom_site_fract_x
_atom_site_fract_y
_atom_site_fract_z
_atom_site_occupancy
Ca1 0.000 0.000 0.000 1
Gd1 0.000 0.000 0.500 1
Ge1 0.250 0.250 0.250 1
Pt1 0.250 0.250 0.750 1
```

=====

Record 2
## CaGdGeRh (GGA-PBE)

Data for a geometry-optimized CaGdGeRh structure.

Computed properties:
M_tot, μB/cell: 28.144
N(E_F), states/eV/cell: 10.6
E_form, eV/atom: -0.57

Geometry as CIF:
```
data_CaGdGeRh
_space_group_name_H-M_alt 'F -4 3 m'
_space_group_IT_number 216
_space_group_name_Hall 'F -4 2 3'
_cell_length_a 7.050
_cell_length_b 7.050
_cell_length_c 7.050
_cell_angle_alpha 90.00
_cell_angle_beta 90.00
_cell_angle_gamma 90.00
loop_
_atom_site_label
_atom_site_fract_x
_atom_site_fract_y
_atom_site_fract_z
_atom_site_occupancy
Ca1 0.000 0.000 0.000 1
Gd1 0.000 0.000 0.500 1
Ge1 0.250 0.250 0.750 1
Rh1 0.250 0.250 0.250 1
```

=====

Record 3
## CaGdTlGe (GGA-PBE)

Data for a geometry-optimized CaGdTlGe structure.

Computed properties:
M_tot, μB/cell: 28.123
N(E_F), states/eV/cell: 7.9
E_form, eV/atom: -0.45

Geometry as CIF:
```
data_CaGdTlGe
_space_group_name_H-M_alt 'F -4 3 m'
_space_group_IT_number 216
_space_group_name_Hall 'F -4 2 3'
_cell_length_a 7.495
_cell_length_b 7.495
_cell_length_c 7.495
_cell_angle_alpha 90.00
_cell_angle_beta 90.00
_cell_angle_gamma 90.00
loop_
_atom_site_label
_atom_site_fract_x
_atom_site_fract_y
_atom_site_fract_z
_atom_site_occupancy
Ca1 0.000 0.000 0.000 1
Gd1 0.000 0.000 0.500 1
Tl1 0.250 0.250 0.250 1
Ge1 0.250 0.250 0.750 1
```

=====

Record 4
## CaGd2H (GGA-PBE)

Data for a geometry-optimized CaGd2H structure.

Computed properties:
M_tot, μB/cell: 44.894
N(E_F), states/eV/cell: 11.4

Geometry as CIF:
```
data_CaGd2H
_space_group_name_H-M_alt 'R -3 m'
_space_group_IT_number 166
_space_group_name_Hall '-R 3 2"'
_cell_length_a 3.6092
_cell_length_b 3.6092
_cell_length_c 28.5959
_cell_angle_alpha 90.00
_cell_angle_beta 90.00
_cell_angle_gamma 120.00
loop_
_atom_site_label
_atom_site_fract_x
_atom_site_fract_y
_atom_site_fract_z
_atom_site_occupancy
Ca1 0.0000 0.0000 0.0000 1
Gd1 0.0000 0.0000 0.1192 1
H1 0.0000 0.0000 0.5000 1
```

=====

Record 5
## CaGd3H (GGA-PBE)

Data for a geometry-optimized CaGd3H structure.

Computed properties:
M_tot, μB/cell: 22.818
N(E_F), states/eV/cell: 9.0

Geometry as CIF:
```
data_CaGd3H
_space_group_name_H-M_alt 'P m -3 m'
_space_group_IT_number 221
_space_group_name_Hall '-P 4 2 3'
_cell_length_a 5.117
_cell_length_b 5.117
_cell_length_c 5.117
_cell_angle_alpha 90.00
_cell_angle_beta 90.00
_cell_angle_gamma 90.00
loop_
_atom_site_label
_atom_site_fract_x
_atom_site_fract_y
_atom_site_fract_z
_atom_site_occupancy
Ca1 0.000 0.000 0.000 1
Gd1 0.000 0.500 0.500 1
H1 0.500 0.500 0.500 1
```

=====

Record 6
## CaGdH2 (GGA-PBE)

Data for a geometry-optimized CaGdH2 structure.

Computed properties:
M_tot, μB/cell: 23.720
N(E_F), states/eV/cell: 4.3

Geometry as CIF:
```
data_CaGdH2
_space_group_name_H-M_alt 'R -3 m'
_space_group_IT_number 166
_space_group_name_Hall '-R 3 2"'
_cell_length_a 3.6540
_cell_length_b 3.6540
_cell_length_c 17.8996
_cell_angle_alpha 90.00
_cell_angle_beta 90.00
_cell_angle_gamma 120.00
loop_
_atom_site_label
_atom_site_fract_x
_atom_site_fract_y
_atom_site_fract_z
_atom_site_occupancy
Ca1 0.0000 0.0000 0.0000 1
Gd1 0.0000 0.0000 0.5000 1
H1 0.0000 0.0000 0.2235 1
```

=====

Record 7
## Ca5Gd3H12 (GGA-PBE)

Data for a geometry-optimized Ca5Gd3H12 structure.

Computed properties:
M_tot, μB/cell: 187.585
N(E_F), states/eV/cell: 84.1

Geometry as CIF:
```
data_Ca5Gd3H12
_space_group_name_H-M_alt 'I a -3 d'
_space_group_IT_number 230
_space_group_name_Hall '-I 4bd 2c 3'
_cell_length_a 13.312
_cell_length_b 13.312
_cell_length_c 13.312
_cell_angle_alpha 90.00
_cell_angle_beta 90.00
_cell_angle_gamma 90.00
loop_
_atom_site_label
_atom_site_fract_x
_atom_site_fract_y
_atom_site_fract_z
_atom_site_occupancy
Ca1 0.000 0.000 0.000 1
Ca2 0.000 0.250 0.375 1
Gd1 0.000 0.250 0.125 1
H1 0.005 0.071 0.656 1
```

=====

Record 8
## CaGdH (GGA-PBE)

Data for a geometry-optimized CaGdH structure.

Computed properties:
M_tot, μB/cell: 8.345
N(E_F), states/eV/cell: 3.4

Geometry as CIF:
```
data_CaGdH
_space_group_name_H-M_alt 'P 3 m 1'
_space_group_IT_number 156
_space_group_name_Hall 'P 3 -2"'
_cell_length_a 3.6751
_cell_length_b 3.6751
_cell_length_c 5.9649
_cell_angle_alpha 90.00
_cell_angle_beta 90.00
_cell_angle_gamma 120.00
loop_
_atom_site_label
_atom_site_fract_x
_atom_site_fract_y
_atom_site_fract_z
_atom_site_occupancy
Ca1 0.0000 0.0000 0.0000 1
Gd1 0.3333 0.6667 0.4832 1
H1 0.6667 0.3333 0.2745 1
```

=====

Number 1: calculated total energy -7.4993 eV/atom. Number 2: calculated total energy -7.5781 eV/atom. Number 3: calculated total energy -6.2151 eV/atom. Number 4: calculated total energy -8.4232 eV/atom. Number 5: calculated total energy -9.6071 eV/atom. Number 6: calculated total energy -6.0145 eV/atom. Number 7: calculated total energy -5.0270 eV/atom. Number 8: calculated total energy -6.6627 eV/atom.